No. 1
Computed, not measured: a PBEsol-optimized structure of SrTl2As at the SCAN level of DFT.

Crystal system ... orthorhombic
Distance to the lowest polymorph of the same formula ... 0 meV per atom
DOS(E_F) ... 2.69 states/eV per cell

Unit cell a=4.147 b=4.641 c=12.010 alpha=90.00 beta=90.00 gamma=90.00
Space group Amm2 (No. 38)
Unique sites:
Sr (0.000, 0.000, 0.000) x2
Tl (0.000, 0.000, 0.720) x2
Tl (0.500, 0.000, 0.295) x2
As (0.500, 0.000, 0.545) x2

No. 2
Computed, not measured: a PBEsol-optimized structure of SrTl3As at the SCAN level of DFT.

Crystal system ... cubic
DOS(E_F) ... 4.16 states/eV per cell

Unit cell a=5.519 b=5.519 c=5.519 alpha=90.00 beta=90.00 gamma=90.00
Space group Pm-3m (No. 221)
Unique sites:
Sr (0.000, 0.000, 0.000) x1
Tl (0.000, 0.500, 0.500) x3
As (0.500, 0.500, 0.500) x1

| no. | VASP energy (eV/atom) | ΔE_f (eV/atom) | calculated volume (Å³/cell) |
| --- | --- | --- | --- |
| 1 | -47.34 | -0.54 | 231 |
| 2 | -51.86 | 0.05 | 168 |